Compound: K2SbSe
Source: Alexandria
Functional: PBE-GGA
Structure: optimized geometry

Output
crystal system	tetragonal
offset from the most stable computed form	0.242	eV per formula unit
E_form (uncorrected)	-456.5	meV/atom
DOS(E_F)	0.4489	states/eV/atom
calculated volume	120.7	Å³/f.u.

a = 4.838 Å, b = 4.838 Å, c = 5.155 Å
α = 90.00°, β = 90.00°, γ = 90.00°
Space group P4/mmm (No. 123)
Unique sites:
K1 0.000 0.500 0.000
Sb1 0.000 0.000 0.500
Se1 0.500 0.500 0.500